Compound: Ac2FeReO8
Source: Alexandria via LeMat-Bulk
Functional: PBE with a Hubbard U
Structure: relaxed

Structure (extended XYZ):
```
12
Lattice="4.5211 0.0000 0.0000 0.6794 5.4006 0.0000 0.4853 0.8096 7.1164" Properties=species:S:1:pos:R:3 pbc="T T T"
Ac 0.9873 0.3017 1.7327
Ac 4.6985 5.9085 5.3837
Fe 2.6003 2.7003 0.0000
Re 2.8429 3.1051 3.5582
O 1.6062 4.4286 3.9610
O 2.3611 5.1787 6.7292
O 1.8404 1.7780 4.4030
O 1.9297 2.8107 1.8020
O 3.7562 3.3995 5.3144
O 3.8455 4.4321 2.7134
O 3.3248 1.0315 0.3872
O 4.0797 1.7816 3.1554
```

Output
* calculated total energy: -7.75 eV per atom
* crystal system: triclinic
* magnetization: 2.973 μB/f.u.